Entry 1:
Compound: ZnInSb
Source: Alexandria via LeMat-Bulk
Functional: GGA-PBE
Structure: relaxed

Results
ΔE_f (raw): 132 meV/atom
V: 72.9 Å³/f.u.
electronic total energy: -7.7 eV per cell

Cell lengths 6.959, 6.742, 3.428 Å; angles 79.05, 72.03, 28.93 degrees
Sites, in units of the cell vectors:
Zn: 0.669 0.669 0.331
In: 0.014 0.014 0.986
Sb: 0.317 0.317 0.683

=====

Entry 2:
Compound: Ta2RhCl
Source: Alexandria via LeMat-Bulk
Functional: GGA-PBE
Structure: relaxed

Results
ΔE_f (raw): -223 meV/atom
V: 74.6 Å³/f.u.
electronic total energy: -33.8 eV per cell
energy above the lowest structure with this stoichiometry: 0.0 meV per atom

Cell lengths 9.499, 9.499, 9.499 Å; angles 18.40, 18.40, 18.40 degrees
Sites, in units of the cell vectors:
Cl: 0.515 0.515 0.515
Ta: 0.246 0.246 0.246
Ta: 0.001 0.001 0.001
Rh: 0.737 0.737 0.737

=====

Entry 3:
Compound: RbCrCd3
Source: Alexandria via LeMat-Bulk
Functional: GGA-PBE
Structure: relaxed

Results
V: 164.3 Å³/f.u.
electronic total energy: -11.8 eV per cell
formation enthalpy at 0 K: 0.30 eV/atom
energy above the lowest structure with this stoichiometry: 0.0 meV per atom

Cell lengths 5.477, 5.477, 5.477 Å; angles 90.00, 90.00, 90.00 degrees
Site moments in Bohr magnetons follow the coordinates.
Sites, in units of the cell vectors:
Cd: 0.000 0.500 0.000  0.03
Cd: 0.000 0.000 0.500  0.04
Rb: 0.500 0.500 0.500  -0.01
Cd: 0.500 0.000 0.000  0.03
Cr: 0.000 0.000 0.000  3.76

=====

Entry 4:
Compound: La4Sc2Tl
Source: Alexandria via LeMat-Bulk
Functional: GGA-PBE
Structure: relaxed

Results
V: 280.8 Å³/f.u.
electronic total energy: -31.2 eV per cell
formation enthalpy at 0 K: 0.51 eV/atom

Cell lengths 6.072, 6.072, 8.743 Å; angles 69.68, 69.68, 90.00 degrees
Sites, in units of the cell vectors:
La: 0.000 0.500 0.000
Tl: 0.000 0.000 0.000
La: 0.205 0.205 0.589
La: 0.795 0.795 0.411
Sc: 0.405 0.405 0.190
La: 0.500 0.000 0.000
Sc: 0.595 0.595 0.810

=====

Entry 5:
Compound: PrCoIr
Source: Alexandria via LeMat-Bulk
Functional: GGA-PBE
Structure: relaxed

Results
V: 61.9 Å³/f.u.
electronic total energy: -21.8 eV per cell
formation enthalpy at 0 K: -0.34 eV/atom

Cell lengths 4.231, 4.110, 4.110 Å; angles 120.00, 90.00, 90.00 degrees
Site moments in Bohr magnetons follow the coordinates.
Sites, in units of the cell vectors:
Pr: 0.667 0.333 0.667  -0.06
Co: 0.167 0.667 0.333  1.05
Ir: 0.167 0.000 0.000  0.31

=====

Entry 6:
Compound: YThSn
Source: Alexandria via LeMat-Bulk
Functional: GGA-PBE
Structure: relaxed

Results
V: 87.4 Å³/f.u.
electronic total energy: -18.9 eV per cell
formation enthalpy at 0 K: -0.35 eV/atom
energy above the lowest structure with this stoichiometry: 190.7 meV per atom

Cell lengths 4.110, 4.110, 5.933 Å; angles 110.27, 110.27, 90.00 degrees
Sites, in units of the cell vectors:
Th: 0.626 0.626 0.253
Y: 0.934 0.934 0.869
Sn: 0.289 0.289 0.578

=====

| no. | total moment (μB/f.u.) |
| --- | --- |
| 1 | 0.00 |
| 2 | 0.00 |
| 3 | 4.48 |
| 4 | 0.00 |
| 5 | 1.25 |
| 6 | 0.00 |